Record 1
# HgRu2Au

An optimized crystal structure of HgRu2Au (PBEsol, the Alexandria database).

Properties
Symmetry ... I-4m2
Fermi-level density of states ... 1.06 states/eV per atom
Raw total energy ... -5.6965 eV/atom

extended XYZ file:
```
4
Lattice="-1.983 1.983 3.963 1.983 -1.983 3.963 1.983 1.983 -3.963" Properties=species:S:1:pos:R:3 pbc="T T T"
Hg 0.000 0.000 0.000
Ru 0.000 0.000 3.963
Ru 0.000 1.983 1.982
Au 1.983 0.000 1.982
```

***

Record 2
# HgRu2Au

An optimized crystal structure of HgRu2Au (PBEsol, the Alexandria database).

Properties
Symmetry ... Pm
Fermi-level density of states ... 0.70 states/eV per atom
Raw total energy ... -5.7045 eV/atom

extended XYZ file:
```
4
Lattice="2.804 0.000 0.000 0.000 4.202 0.000 -1.413 0.000 5.469" Properties=species:S:1:pos:R:3 pbc="T T T"
Hg 0.000 0.000 0.000
Ru 1.400 2.101 1.437
Ru 1.400 0.000 2.602
Au -0.003 2.101 3.957
```

***

Record 3
# HgAu2S2

An optimized crystal structure of HgAu2S2 (PBEsol, the Alexandria database).

Properties
Symmetry ... I4/mmm
Fermi-level density of states ... 0.46 states/eV per atom
Raw total energy ... -3.0448 eV/atom
Uncorrected formation energy ... 0.392 eV per atom

extended XYZ file:
```
5
Lattice="-1.808 1.808 7.153 1.808 -1.808 7.153 1.808 1.808 -7.153" Properties=species:S:1:pos:R:3 pbc="T T T"
Hg 0.000 0.000 0.000
Au 0.000 0.000 5.806
Au 0.000 0.000 8.500
S 1.808 0.000 3.576
S 0.000 1.808 3.576
```

***

Record 4
# HgSb2Au

An optimized crystal structure of HgSb2Au (PBEsol, the Alexandria database).

Properties
Symmetry ... P4/mmm
Fermi-level density of states ... 0.57 states/eV per atom
Raw total energy ... -3.2715 eV/atom
Uncorrected formation energy ... 0.130 eV per atom

extended XYZ file:
```
4
Lattice="3.268 0.000 0.000 0.000 3.268 0.000 0.000 0.000 8.713" Properties=species:S:1:pos:R:3 pbc="T T T"
Hg 0.000 0.000 0.000
Sb 1.634 1.634 2.422
Sb 1.634 1.634 6.292
Au 0.000 0.000 4.357
```

***

Record 5
# HgSb2Au

An optimized crystal structure of HgSb2Au (PBEsol, the Alexandria database).

Properties
Symmetry ... R-3m
Fermi-level density of states ... 0.43 states/eV per atom
Raw total energy ... -3.2814 eV/atom
Uncorrected formation energy ... 0.120 eV per atom

extended XYZ file:
```
4
Lattice="1.670 0.964 9.911 -1.670 0.964 9.911 0.000 -1.929 9.911" Properties=species:S:1:pos:R:3 pbc="T T T"
Hg 0.000 0.000 0.000
Sb 0.000 0.000 7.100
Sb 0.000 0.000 22.634
Au 0.000 0.000 14.867
```

***

Record 6
# HgSb2Au

An optimized crystal structure of HgSb2Au (PBEsol, the Alexandria database).

Properties
Symmetry ... Cmm2
Fermi-level density of states ... 0.49 states/eV per atom
Raw total energy ... -3.2558 eV/atom
Uncorrected formation energy ... 0.146 eV per atom

extended XYZ file:
```
4
Lattice="1.952 -2.604 0.000 1.952 2.604 0.000 0.000 0.000 9.110" Properties=species:S:1:pos:R:3 pbc="T T T"
Hg 0.000 0.000 0.000
Sb 0.000 0.000 4.046
Sb 1.952 0.000 6.735
Au 1.952 0.000 2.036
```

***

Record 7
# HgSb2Au

An optimized crystal structure of HgSb2Au (PBEsol, the Alexandria database).

Properties
Symmetry ... C2/m
Fermi-level density of states ... 0.50 states/eV per atom
Raw total energy ... -3.4220 eV/atom
Uncorrected formation energy ... -0.021 eV per atom

extended XYZ file:
```
4
Lattice="3.562 -2.104 0.000 3.562 2.104 0.000 -2.509 0.000 6.622" Properties=species:S:1:pos:R:3 pbc="T T T"
Hg 0.000 0.000 0.000
Sb -0.101 0.000 4.687
Sb 4.716 0.000 1.935
Au 2.307 0.000 3.311
```

***

Record 8
# HgSb2Au

An optimized crystal structure of HgSb2Au (PBEsol, the Alexandria database).

Properties
Symmetry ... Cmmm
Fermi-level density of states ... 0.36 states/eV per atom
Raw total energy ... -3.4411 eV/atom
Uncorrected formation energy ... -0.040 eV per atom

extended XYZ file:
```
4
Lattice="2.955 -4.081 0.000 2.955 4.081 0.000 0.000 0.000 4.181" Properties=species:S:1:pos:R:3 pbc="T T T"
Hg 0.000 0.000 0.000
Sb 2.955 1.735 2.091
Sb 2.955 -1.735 2.091
Au 2.955 0.000 0.000
```

***

Record 9
# Hg2SbAuSe

An optimized crystal structure of Hg2SbAuSe (PBEsol, the Alexandria database).

Properties
Symmetry ... P4/mmm
Fermi-level density of states ... 0.94 states/eV per atom
Raw total energy ... -2.1491 eV/atom
Uncorrected formation energy ... 0.544 eV per atom

extended XYZ file:
```
5
Lattice="5.212 0.000 0.000 0.000 5.212 0.000 0.000 0.000 4.940" Properties=species:S:1:pos:R:3 pbc="T T T"
Hg 0.000 2.606 0.000
Hg 2.606 0.000 0.000
Sb 0.000 0.000 2.470
Au 2.606 2.606 2.470
Se 2.606 2.606 0.000
```

***

Record 10
# HgSbTe2Au

An optimized crystal structure of HgSbTe2Au (PBEsol, the Alexandria database).

Properties
Symmetry ... P4/mmm
Fermi-level density of states ... 1.19 states/eV per atom
Raw total energy ... -2.1882 eV/atom
Uncorrected formation energy ... 1.032 eV per atom

extended XYZ file:
```
5
Lattice="5.489 0.000 0.000 0.000 5.489 0.000 0.000 0.000 5.393" Properties=species:S:1:pos:R:3 pbc="T T T"
Hg 0.000 0.000 0.000
Sb 0.000 0.000 2.696
Te 0.000 2.745 0.000
Te 2.745 0.000 0.000
Au 2.745 2.745 2.696
```

***

Record 11
# ScHg2Au

An optimized crystal structure of ScHg2Au (PBEsol, the Alexandria database).

Properties
Symmetry ... I-4m2
Fermi-level density of states ... 0.45 states/eV per atom
Raw total energy ... -3.3468 eV/atom

extended XYZ file:
```
4
Lattice="-2.337 2.337 3.544 2.337 -2.337 3.544 2.337 2.337 -3.544" Properties=species:S:1:pos:R:3 pbc="T T T"
Sc 0.000 0.000 0.000
Hg 2.337 0.000 1.772
Hg 0.000 0.000 3.544
Au 0.000 2.337 1.772
```

***

Record 12
# ScHgAu

An optimized crystal structure of ScHgAu (PBEsol, the Alexandria database).

Properties
Symmetry ... Imm2
Fermi-level density of states ... 0.39 states/eV per atom
Raw total energy ... -4.3033 eV/atom

extended XYZ file:
```
3
Lattice="-1.800 1.805 4.402 1.800 -1.805 4.402 1.800 1.805 -4.402" Properties=species:S:1:pos:R:3 pbc="T T T"
Sc 0.000 0.000 0.000
Hg 0.000 0.000 2.886
Au 0.000 0.000 5.812
```

***

What is the raw total energy in the ninth record?
-2.1491 eV/atom

***

Look up the Fermi-level density of states of the second one.
0.70 states/eV per atom